Lu4CdSnC2 | GGA-PBE | relaxed

Calculated values
**Space-group type**: P-6m2
**V**: 20.99 A^3/atom
**Crystal system**: hexagonal
**Uncorrected energy**: -5.667 eV per atom

a b c (Å): 3.5137 3.5137 15.7070
angles (deg): 90.00 90.00 120.00
Closest atoms and distances in Å follow each position.
Sites, in units of the cell vectors:
C: 0.6667 0.3333 0.7526  6 Lu 2.41
Cd: 0.0000 0.0000 0.5000  6 Lu 3.35, 6 Cd 3.51
Lu: 0.0000 0.0000 0.8349  3 C 2.41
C: 0.6667 0.3333 0.2474  6 Lu 2.41
Lu: 0.0000 0.0000 0.1651  3 C 2.41
Lu: 0.3333 0.6667 0.6695  3 C 2.41
Lu: 0.3333 0.6667 0.3305  3 C 2.41
Sn: 0.3333 0.6667 0.0000  6 Lu 3.29, 6 Sn 3.51

NaScFeMo | GGA-PBE | relaxed

Calculated values
**Space-group type**: F-43m
**V**: 15.93 A^3/atom
**Crystal system**: cubic
**Uncorrected energy**: -6.050 eV per atom

a b c (Å): 4.4832 4.4832 4.4832
angles (deg): 60.00 60.00 60.00
Closest atoms and distances in Å follow each position.
Sites, in units of the cell vectors:
Sc: 0.5000 0.5000 0.5000  4 Fe 2.75, 4 Na 2.75
Na: 0.7500 0.7500 0.7500  4 Sc 2.75, 4 Mo 2.75
Fe: 0.2500 0.2500 0.2500  4 Sc 2.75, 4 Mo 2.75
Mo: 0.0000 0.0000 0.0000  4 Fe 2.75, 4 Na 2.75

Zr4FeSN2 | GGA-PBE | relaxed

Calculated values
**Space-group type**: P-6m2
**V**: 14.90 A^3/atom
**Crystal system**: hexagonal
**Uncorrected energy**: -9.054 eV per atom

a b c (Å): 3.2793 3.2793 12.7978
angles (deg): 90.00 90.00 120.00
Closest atoms and distances in Å follow each position.
Sites, in units of the cell vectors:
Fe: 0.0000 0.0000 0.5000  6 Zr 2.72
Zr: 0.0000 0.0000 0.8566  3 N 2.30
Zr: 0.3333 0.6667 0.6521  3 N 2.30
N: 0.6667 0.3333 0.2457  6 Zr 2.30
Zr: 0.3333 0.6667 0.3479  3 N 2.30
N: 0.6667 0.3333 0.7543  6 Zr 2.30
S: 0.3333 0.6667 0.0000  6 Zr 2.64
Zr: 0.0000 0.0000 0.1434  3 N 2.30

Pr2Cd2O5 | GGA-PBE | relaxed

Calculated values
**Space-group type**: P4/mmm
**V**: 14.78 A^3/atom
**Crystal system**: tetragonal
**Uncorrected energy**: -5.796 eV per atom

a b c (Å): 7.3528 4.2538 4.2538
angles (deg): 90.00 90.00 90.00
Closest atoms and distances in Å follow each position.
Sites, in units of the cell vectors:
O: 0.7961 0.5000 0.0000  2 Cd 2.13
O: 0.5000 0.5000 0.5000  2 Cd 2.14
O: 0.7961 0.0000 0.5000  2 Cd 2.13
Cd: 0.7916 0.5000 0.5000  5 O 2.13-2.14
O: 0.2039 0.0000 0.5000  2 Cd 2.13
O: 0.2039 0.5000 0.0000  2 Cd 2.13
Pr: 0.0000 0.0000 0.0000  8 O 2.60
Cd: 0.2084 0.5000 0.5000  5 O 2.13-2.14
Pr: 0.5000 0.0000 0.0000  12 O 3.01-3.04

AlFeTcMo | GGA-PBE | relaxed

Calculated values
**Space-group type**: F-43m
**V**: 13.63 A^3/atom
**Crystal system**: cubic
**Uncorrected energy**: -8.534 eV per atom

a b c (Å): 4.2560 4.2560 4.2560
angles (deg): 60.00 60.00 60.00
Closest atoms and distances in Å follow each position.
Sites, in units of the cell vectors:
Tc: 0.2500 0.2500 0.2500  4 Mo 2.61, 4 Al 2.61
Fe: 0.7500 0.7500 0.7500  4 Al 2.61, 4 Mo 2.61
Mo: 0.5000 0.5000 0.5000  4 Tc 2.61, 4 Fe 2.61
Al: 0.0000 0.0000 0.0000  4 Fe 2.61, 4 Tc 2.61

TcSbAsO | GGA-PBE | relaxed

Calculated values
**Space-group type**: Pmc2_1
**V**: 17.34 A^3/atom
**Crystal system**: orthorhombic
**Uncorrected energy**: -6.392 eV per atom

a b c (Å): 3.0601 7.6855 5.8974
angles (deg): 90.00 90.00 90.00
Closest atoms and distances in Å follow each position.
Sites, in units of the cell vectors:
Tc: 0.5000 0.4996 0.6254  2 O 2.03
As: 0.0000 0.6829 0.3760  4 Tc 2.55, 1 Sb 2.78
Tc: 0.5000 0.5004 0.1254  2 O 2.03
Sb: 0.0000 0.9549 0.8773  2 O 2.60, 1 As 2.78
As: 0.0000 0.3171 0.8760  4 Tc 2.55, 1 Sb 2.78
O: 0.5000 0.3181 0.3754  2 Tc 2.03
Sb: 0.0000 0.0451 0.3773  2 O 2.60, 1 As 2.78
O: 0.5000 0.6819 0.8754  2 Tc 2.03

Nd2PIr8 | GGA-PBE | relaxed

Calculated values
**Space-group type**: Amm2
**V**: 17.82 A^3/atom
**Crystal system**: orthorhombic
**Uncorrected energy**: -8.268 eV per atom

a b c (Å): 4.2414 9.0962 9.0962
angles (deg): 146.04 90.00 90.00
Closest atoms and distances in Å follow each position.
Sites, in units of the cell vectors:
Nd: 0.5000 0.3916 0.6267  8 Ir 3.02-3.37, 2 P 3.25
Ir: 0.5000 0.9982 0.9982  2 P 2.45
Nd: 0.5000 0.6267 0.3916  8 Ir 3.02-3.37, 2 P 3.25
Ir: 0.5000 0.2163 0.8111  6 Ir 2.63-2.64
Ir: 0.0000 0.5114 0.0058  8 Ir 2.63-2.77
Ir: 0.0000 0.8917 0.1190  1 P 2.34
Ir: 0.0000 0.0058 0.5114  8 Ir 2.63-2.77
Ir: 0.5000 0.8111 0.2163  6 Ir 2.63-2.64
P: 0.0000 0.7688 0.7688  5 Ir 2.25-2.45
Ir: 0.0000 0.1190 0.8917  1 P 2.34
Ir: 0.0000 0.3458 0.3458  1 P 2.25

HgTe2O4 | GGA-PBE | relaxed

Calculated values
**Space-group type**: Fd-3m
**V**: 17.17 A^3/atom
**Crystal system**: cubic
**Uncorrected energy**: -4.185 eV per atom

a b c (Å): 6.9792 6.9792 6.9792
angles (deg): 120.00 90.00 120.00
Closest atoms and distances in Å follow each position.
Sites, in units of the cell vectors:
Hg: 0.0000 0.0000 0.0000  4 O 2.47
O: 0.5660 0.7106 0.8554  3 Te 2.29, 1 Hg 2.47
O: 0.1446 0.2894 0.4340  3 Te 2.29, 1 Hg 2.47
Te: 0.3750 0.7500 0.6250  6 O 2.29
O: 0.1448 0.2894 0.8554  3 Te 2.29, 1 Hg 2.47
O: 0.1446 0.7106 0.8552  3 Te 2.29, 1 Hg 2.47
O: 0.6054 0.7894 0.3948  3 Te 2.29, 1 Hg 2.47
O: 0.6054 0.2106 0.8160  3 Te 2.29, 1 Hg 2.47
Te: 0.3750 0.7500 0.1250  6 O 2.29
O: 0.6052 0.2106 0.3946  3 Te 2.29, 1 Hg 2.47
Te: 0.8750 0.2500 0.6250  6 O 2.29
O: 0.1840 0.7894 0.3946  3 Te 2.29, 1 Hg 2.47
Hg: 0.7500 0.5000 0.2500  4 O 2.47
Te: 0.3750 0.2500 0.6250  6 O 2.29

Hf2FeSn | GGA-PBE | relaxed

Calculated values
**Space-group type**: F-43m
**V**: 18.61 A^3/atom
**Crystal system**: cubic
**Uncorrected energy**: -7.894 eV per atom

a b c (Å): 4.7220 4.7220 4.7220
angles (deg): 60.00 60.00 60.00
Closest atoms and distances in Å follow each position.
Sites, in units of the cell vectors:
Fe: 0.2500 0.2500 0.2500  4 Sn 2.89, 4 Hf 2.89
Sn: 0.5000 0.5000 0.5000  4 Fe 2.89, 4 Hf 2.89
Hf: 0.7500 0.7500 0.7500  4 Hf 2.89, 4 Sn 2.89
Hf: 0.0000 0.0000 0.0000  4 Hf 2.89, 4 Fe 2.89

LiYAu2 | GGA-PBE | relaxed

Calculated values
**Space-group type**: P6_3/mmc
**V**: 21.09 A^3/atom
**Crystal system**: hexagonal
**Uncorrected energy**: -4.087 eV per atom

a b c (Å): 4.7554 4.7554 8.6165
angles (deg): 90.00 90.00 120.00
Closest atoms and distances in Å follow each position.
Sites, in units of the cell vectors:
Au: 0.3333 0.6667 0.4129  4 Au 2.81-3.13, 4 Y 2.90-3.08, 3 Li 3.08
Y: 0.3333 0.6667 0.7500  3 Li 2.75, 2 Au 2.90
Au: 0.6667 0.3333 0.5871  4 Au 2.81-3.13, 4 Y 2.90-3.08, 3 Li 3.08
Au: 0.3333 0.6667 0.0871  4 Au 2.81-3.13, 4 Y 2.90-3.08, 3 Li 3.08
Au: 0.6667 0.3333 0.9129  4 Au 2.81-3.13, 4 Y 2.90-3.08, 3 Li 3.08
Li: 0.0000 0.0000 0.7500  3 Y 2.75
Li: 0.0000 0.0000 0.2500  3 Y 2.75
Y: 0.6667 0.3333 0.2500  3 Li 2.75, 2 Au 2.90

ErZrPb | GGA-PBE | relaxed

Calculated values
**Space-group type**: F-43m
**V**: 28.98 A^3/atom
**Crystal system**: cubic
**Uncorrected energy**: -5.516 eV per atom

a b c (Å): 4.9725 4.9725 4.9725
angles (deg): 60.00 60.00 60.00
Closest atoms and distances in Å follow each position.
Sites, in units of the cell vectors:
Pb: 0.0000 0.0000 0.0000  4 Zr 3.05, 4 Er 3.05
Er: 0.2500 0.2500 0.2500  4 Pb 3.05
Zr: 0.7500 0.7500 0.7500  4 Pb 3.05

Pr2O3 | GGA-PBE | relaxed

Calculated values
**Space-group type**: P-3m1
**V**: 15.76 A^3/atom
**Crystal system**: trigonal
**Uncorrected energy**: -8.174 eV per atom

a b c (Å): 3.8744 3.8744 6.0602
angles (deg): 90.00 90.00 120.00
Closest atoms and distances in Å follow each position.
Sites, in units of the cell vectors:
O: 0.0000 0.0000 0.0000  6 Pr 2.69
O: 0.3333 0.6667 0.6447  4 Pr 2.33-2.41
Pr: 0.6667 0.3333 0.7527  4 O 2.33-2.41
O: 0.6667 0.3333 0.3553  4 Pr 2.33-2.41
Pr: 0.3333 0.6667 0.2473  4 O 2.33-2.41